# CuRePb2

An optimized crystal structure of CuRePb2 (PBEsol, Alexandria via LeMat-Bulk).

Calculated values
The calculated volume comes out at 18.86 Å³/atom. As for the energy relative to the elements: 896 meV/atom. Its symmetry is No. 65. The calculation puts the size of the total moment at 0.00 Bohr magnetons per cell. Its uncorrected energy is -5.520 eV per atom.

Lattice parameters (Å, degrees): 3.330 4.760 4.760 89.75 90.00 90.00
Fractional coordinates of all 4 atoms:
1 Cu 0.500 0.500 0.500
2 Pb 0.000 0.500 0.000
3 Pb 0.000 0.000 0.500
4 Re 0.500 0.000 0.000